GGA-PBE AcTcAg2O8, optimized geometry; calculated volume = 17.09 A^3/atom; space group = P-3m1, No. 164; ΔE_f (raw) = -0.749 eV/atom
1.0
-4.0980 3.7713 2.5172
0.3890 -5.7964 1.8981
4.2635 1.7168 4.3689
Ac Tc Ag O
1 1 2 8
direct
0.0000 0.0000 0.5000 Ac
0.0000 0.0000 0.0000 Tc
0.6667 0.3333 0.9616 Ag
0.3333 0.6667 0.0384 Ag
0.8563 0.7127 0.8173 O
0.2873 0.1437 0.8173 O
0.8563 0.1437 0.8173 O
0.1437 0.2873 0.1827 O
0.7127 0.8563 0.1827 O
0.1437 0.8563 0.1827 O
0.6667 0.3333 0.2758 O
0.3333 0.6667 0.7242 O